A plane-wave DFT calculation with GGA-PBE was carried out for a geometry-optimized SrSb2RhI structure.

Results
The value obtained for the formation energy without anion corrections is 1.1228 eV per atom.

CIF file:
```
data_SrSb2RhI
_chemical_formula_sum 'Sr1 Sb2 Rh1 I1'
_cell_length_a 6.106
_cell_length_b 6.106
_cell_length_c 6.074
_cell_angle_alpha 90.00
_cell_angle_beta 90.00
_cell_angle_gamma 90.00
_symmetry_space_group_name_H-M 'P 4/m m m'
_symmetry_Int_Tables_number 123
_symmetry_space_group_name_Hall '-P 4 2'
loop_
_atom_site_label
_atom_site_type_symbol
_atom_site_fract_x
_atom_site_fract_y
_atom_site_fract_z
Sr1 Sr 0.000 0.000 0.000
Sb1 Sb 0.000 0.500 0.000
Rh1 Rh 0.500 0.500 0.500
I1 I 0.000 0.000 0.500
```